Below is a relaxed structure of MgFe2O4, with properties calculated at the PBE+U level.

a = 5.9214 Å, b = 5.9214 Å, c = 14.4749 Å
α = 90.00°, β = 90.00°, γ = 120.00°
Closest atoms and distances in Å follow each position.
Atoms (fractional coordinates):
Mg 0.0000 0.0000 0.0000  4 O 1.96-1.98
Mg 0.0000 0.0000 0.2352  4 O 1.97-2.04
Mg 0.0000 0.0000 0.6141  6 O 2.05-2.08
Mg 0.3333 0.6667 0.3238  4 O 1.98
Mg 0.3333 0.6667 0.9522  6 O 2.04-2.13
Mg 0.6667 0.3333 0.6592  4 O 1.97-2.03
Fe 0.0034 0.5017 0.1144  6 O 1.93-2.07
Fe 0.1636 0.3271 0.7814  6 O 1.96-2.13
Fe 0.1636 0.8364 0.7814  6 O 1.96-2.13
Fe 0.3333 0.6667 0.5652  4 O 1.90-1.92
Fe 0.3352 0.1676 0.4464  6 O 1.96-2.00
Fe 0.4983 0.5017 0.1144  6 O 1.93-2.07
Fe 0.4983 0.9966 0.1144  6 O 1.93-2.07
Fe 0.6667 0.3333 0.2791  6 O 2.01-2.05
Fe 0.6667 0.3333 0.9034  4 O 1.92
Fe 0.6729 0.8364 0.7814  6 O 1.96-2.13
Fe 0.8324 0.1676 0.4464  6 O 1.96-2.00
Fe 0.8324 0.6648 0.4464  6 O 1.96-2.00
O 0.0000 0.0000 0.3765  3 Fe 1.99, 1 Mg 2.04
O 0.0000 0.0000 0.8631  1 Mg 1.98, 3 Fe 2.05
O 0.0177 0.5089 0.8570  3 Fe 1.92-2.01, 1 Mg 2.13
O 0.1558 0.3117 0.5223  3 Fe 1.92-1.99, 1 Mg 2.08
O 0.1558 0.8442 0.5223  3 Fe 1.92-1.99, 1 Mg 2.08
O 0.1812 0.3624 0.0424  2 Fe 1.93, 2 Mg 1.96-2.04
O 0.1812 0.8188 0.0424  2 Fe 1.93, 2 Mg 1.96-2.04
O 0.3050 0.1525 0.7057  2 Fe 1.96, 2 Mg 1.97-2.05
O 0.3333 0.6667 0.1872  1 Mg 1.98, 3 Fe 1.99
O 0.3333 0.6667 0.6967  4 Fe 1.90-2.13
O 0.3638 0.1819 0.1909  1 Mg 1.97, 3 Fe 1.98-2.01
O 0.4911 0.5089 0.8570  3 Fe 1.92-2.01, 1 Mg 2.13
O 0.4911 0.9822 0.8570  3 Fe 1.92-2.01, 1 Mg 2.13
O 0.5146 0.0292 0.3714  3 Fe 1.96-2.05, 1 Mg 1.98
O 0.5146 0.4854 0.3714  3 Fe 1.96-2.05, 1 Mg 1.98
O 0.6376 0.8188 0.0424  2 Fe 1.93, 2 Mg 1.96-2.04
O 0.6667 0.3333 0.0359  4 Fe 1.92-2.07
O 0.6667 0.3333 0.5187  3 Fe 2.00, 1 Mg 2.03
O 0.6883 0.8442 0.5223  3 Fe 1.92-1.99, 1 Mg 2.08
O 0.8181 0.1819 0.1909  1 Mg 1.97, 3 Fe 1.98-2.01
O 0.8181 0.6362 0.1909  1 Mg 1.97, 3 Fe 1.98-2.01
O 0.8475 0.1525 0.7057  2 Fe 1.96, 2 Mg 1.97-2.05
O 0.8475 0.6950 0.7057  2 Fe 1.96, 2 Mg 1.97-2.05
O 0.9708 0.4854 0.3714  3 Fe 1.96-2.05, 1 Mg 1.98

- V (Å³/cell) = 440
- raw total energy (eV per formula unit) = -43.26
- spin magnetization (μB per formula unit) = 1.6
- energy above the most stable polymorph in this dataset (kJ/mol of formula units) = 186